Entry 1:
Compound: TbPm2Sm5Tm
Source: Alexandria
Functional: PBE
Structure: optimized geometry

abc: 8.640 8.640 10.165
angles: 115.15 115.15 90.00
Positions (direct):
Sm (0.927, 0.427, 0.283)
Sm (0.500, 0.500, 0.000)
Sm (0.427, 0.356, 0.283)
Sm (0.144, 0.073, 0.717)
Sm (0.073, 0.573, 0.717)
Sm (0.644, 0.144, 0.717)
Sm (0.573, 0.644, 0.717)
Sm (0.856, 0.927, 0.283)
Sm (0.000, 0.000, 0.000)
Sm (0.356, 0.856, 0.283)
Tb (0.250, 0.250, 0.500)
Tb (0.750, 0.750, 0.500)
Pm (0.619, 0.119, 0.000)
Pm (0.381, 0.881, 0.000)
Pm (0.119, 0.381, 0.000)
Pm (0.881, 0.619, 0.000)
Tm (0.750, 0.250, 0.500)
Tm (0.250, 0.750, 0.500)

Space-group type: I4/mcm (140)
V: 33.695 Å³ per atom
Energy of formation: 0.282 eV/atom

Entry 2:
Compound: Pr2EuIr
Source: Alexandria
Functional: PBE
Structure: optimized geometry

abc: 4.189 4.189 9.983
angles: 77.89 77.89 60.00
Positions (direct):
Eu (0.500, 0.500, 0.500)
Pr (0.719, 0.719, 0.842)
Pr (0.281, 0.281, 0.158)
Ir (0.000, 0.000, 0.000)

Space-group type: R-3m (166)
V: 36.790 Å³ per atom
Polymorph energy (0 for the lowest one): 0.0 meV per atom
Energy of formation: -0.323 eV/atom

Entry 3:
Compound: Ac3Nd2PuN6
Source: Alexandria
Functional: PBE
Structure: optimized geometry

abc: 6.424 6.424 6.515
angles: 99.50 99.50 119.79
Positions (direct):
Ac (0.833, 0.167, 0.500)
Ac (0.500, 0.500, 0.500)
Ac (0.167, 0.833, 0.500)
Nd (0.666, 0.334, 0.000)
Nd (0.334, 0.666, 0.000)
N (0.928, 0.624, 0.785)
N (0.237, 0.237, 0.768)
N (0.376, 0.072, 0.215)
N (0.624, 0.928, 0.785)
N (0.072, 0.376, 0.215)
N (0.763, 0.763, 0.232)
Pu (0.000, 0.000, 0.000)

Space-group type: C2/m (12)
V: 18.361 Å³ per atom
E_form (uncorrected): -111.49 kJ per mole of atoms

Entry 4:
Compound: Hf2MgSc4
Source: Alexandria
Functional: PBE
Structure: optimized geometry

abc: 3.236 3.236 18.374
angles: 84.95 84.95 60.00
Positions (direct):
Sc (0.382, 0.382, 0.854)
Sc (0.097, 0.097, 0.709)
Sc (0.618, 0.618, 0.146)
Sc (0.903, 0.903, 0.291)
Hf (0.811, 0.811, 0.567)
Hf (0.189, 0.189, 0.433)
Mg (0.000, 0.000, 0.000)

Space-group type: R-3m (166)
V: 23.685 Å³ per atom
Energy of formation: 0.020 eV/atom

Entry 5:
Compound: Zr4CoRu
Source: Alexandria
Functional: PBE
Structure: optimized geometry

abc: 6.327 6.407 6.259
angles: 90.00 91.21 90.00
Positions (direct):
Zr (0.681, 0.674, 0.666)
Zr (0.853, 0.664, 0.172)
Zr (0.181, 0.826, 0.666)
Zr (0.353, 0.836, 0.172)
Zr (0.647, 0.164, 0.828)
Zr (0.819, 0.174, 0.334)
Zr (0.319, 0.326, 0.334)
Zr (0.147, 0.336, 0.828)
Ru (0.000, 0.000, 0.000)
Ru (0.500, 0.500, 0.000)
Co (0.500, 0.000, 0.500)
Co (0.000, 0.500, 0.500)

Space-group type: P2_1/c (14)
V: 21.140 Å³ per atom
Polymorph energy (0 for the lowest one): 0.0 meV per atom
Energy of formation: -0.089 eV/atom

Entry 6:
Compound: Sm2Ga5IrRh2
Source: Alexandria
Functional: PBE
Structure: optimized geometry

abc: 3.787 9.820 9.820
angles: 90.00 90.00 90.00
Positions (direct):
Ga (0.500, 0.451, 0.308)
Ga (0.500, 0.308, 0.549)
Ga (0.500, 0.808, 0.951)
Ga (0.500, 0.692, 0.451)
Ga (0.500, 0.192, 0.049)
Ga (0.500, 0.000, 0.500)
Ga (0.500, 0.951, 0.192)
Ga (0.500, 0.549, 0.692)
Ga (0.500, 0.500, 0.000)
Ga (0.500, 0.049, 0.808)
Sm (0.000, 0.185, 0.315)
Sm (0.000, 0.685, 0.185)
Sm (0.000, 0.315, 0.815)
Sm (0.000, 0.815, 0.685)
Rh (0.000, 0.115, 0.615)
Rh (0.000, 0.885, 0.385)
Rh (0.000, 0.615, 0.885)
Rh (0.000, 0.385, 0.115)
Ir (0.000, 0.500, 0.500)
Ir (0.000, 0.000, 0.000)

Space-group type: P4/mbm (127)
V: 18.260 Å³ per atom
Energy of formation: -0.548 eV/atom

Number 1: DOS at the Fermi energy 26.83 states/eV per cell. Number 2: DOS at the Fermi energy 3.54 states/eV per cell. Number 3: DOS at the Fermi energy 7.41 states/eV per cell. Number 4: DOS at the Fermi energy 8.43 states/eV per cell. Number 5: DOS at the Fermi energy 14.22 states/eV per cell. Number 6: DOS at the Fermi energy 12.14 states/eV per cell.